# 1
The following is a GGA-PBE calculation of a relaxed structure of Cs2InPtI, from the Alexandria database.

## Properties
**Final energy**: -15.1 eV per formula unit
**Space group**: P4/mmm

Cell: 6.7456 6.7456 5.1902 Å, 90.00 90.00 90.00°
With the nearest neighbours (Å) after each atom.
Positions (direct):
1 Cs 0.0000 0.5000 0.0000  2 Pt 3.37
2 Cs 0.5000 0.0000 0.0000  2 Pt 3.37
3 I 0.5000 0.5000 0.5000  8 Cs 4.26
4 Pt 0.0000 0.0000 0.0000  2 In 2.60
5 In 0.0000 0.0000 0.5000  2 Pt 2.60

=====

# 2
The following is a GGA-PBE calculation of a relaxed structure of BeCo3Au, from the Alexandria database.

## Properties
**Space group**: Pm-3m
**DFT formation energy**: 0.4630 eV/atom

Cell: 3.9413 3.9413 3.9413 Å, 90.00 90.00 90.00°
With the nearest neighbours (Å) after each atom.
Positions (direct):
1 Co 0.0000 0.5000 0.0000  2 Be 1.97
2 Co 0.0000 0.0000 0.5000  2 Be 1.97
3 Co 0.5000 0.0000 0.0000  2 Be 1.97
4 Au 0.5000 0.5000 0.5000  12 Co 2.79
5 Be 0.0000 0.0000 0.0000  6 Co 1.97

=====

# 3
The following is a GGA-PBE calculation of a relaxed structure of LaPm2HoHg4, from the Alexandria database.

## Properties
**Space group**: R-3m
**DFT formation energy**: -0.4721 eV/atom

Cell: 5.3730 5.3730 9.3943 Å, 73.38 73.38 60.00°
With the nearest neighbours (Å) after each atom.
Positions (direct):
1 La 0.0000 0.0000 0.0000  8 Hg 3.33-3.40
2 Pm 0.7507 0.7507 0.7478  8 Hg 3.23-3.46
3 Pm 0.2493 0.2493 0.2522  8 Hg 3.23-3.46
4 Ho 0.5000 0.5000 0.5000  8 Hg 3.21-3.27
5 Hg 0.3793 0.3793 0.8621  1 Ho 3.21, 4 Pm 3.26-3.46, 3 La 3.33
6 Hg 0.8722 0.8722 0.3834  4 Pm 3.23-3.31, 3 Ho 3.27, 1 La 3.40
7 Hg 0.1278 0.1278 0.6166  4 Pm 3.23-3.31, 3 Ho 3.27, 1 La 3.40
8 Hg 0.6207 0.6207 0.1379  1 Ho 3.21, 4 Pm 3.26-3.46, 3 La 3.33